Record 1
# Sc3PSe2 PBE optimized geometry
# Energy relative to the elements, uncorrected   -1.64 eV/atom
# Uncorrected energy   -82.4 eV per cell
# Relative energy among the computed polymorphs   0.006 eV per atom
# Density of states at the Fermi level   0.4200 states/eV per atom
data_Sc3PSe2
_cell_length_a 3.8134
_cell_length_b 5.3843
_cell_length_c 11.6714
_cell_angle_alpha 90.00
_cell_angle_beta 90.00
_cell_angle_gamma 90.00
_symmetry_space_group_name_H-M 'I m m m'
_symmetry_Int_Tables_number 71
_symmetry_space_group_name_Hall '-I 2 2'
loop_
_atom_site_label
_atom_site_fract_x
_atom_site_fract_y
_atom_site_fract_z
Sc1 0.0000 0.0000 0.0000
Sc2 0.0000 0.0000 0.3511
P1 0.0000 0.5000 0.0000
Se1 0.0000 0.5000 0.3289


Record 2
# Cs2PrGaO4 PBE optimized geometry
# Energy relative to the elements, uncorrected   -1.84 eV/atom
# Uncorrected energy   -352.5 eV per cell
# Density of states at the Fermi level   0.0000 states/eV per atom
data_Cs2PrGaO4
_cell_length_a 5.7825
_cell_length_b 13.0046
_cell_length_c 24.3813
_cell_angle_alpha 90.00
_cell_angle_beta 90.00
_cell_angle_gamma 90.00
_symmetry_space_group_name_H-M 'F d d d'
_symmetry_Int_Tables_number 70
loop_
_symmetry_equiv_pos_as_xyz
'x,y,z'
'-x,-y,-z'
'-x+1/4,-y+1/4,z'
'x+1/4,y+1/4,-z'
'x,-y+1/4,-z+1/4'
'-x,y+1/4,z+1/4'
'-x+1/4,y,-z+1/4'
'x+1/4,-y,z+1/4'
'x,y+1/2,z+1/2'
'-x,-y+1/2,-z+1/2'
'-x+1/4,-y+3/4,z+1/2'
'x+1/4,y+3/4,-z+1/2'
'x,-y+3/4,-z+3/4'
'-x,y+3/4,z+3/4'
'-x+1/4,y+1/2,-z+3/4'
'x+1/4,-y+1/2,z+3/4'
'x+1/2,y,z+1/2'
'-x+1/2,-y,-z+1/2'
'-x+3/4,-y+1/4,z+1/2'
'x+3/4,y+1/4,-z+1/2'
'x+1/2,-y+1/4,-z+3/4'
'-x+1/2,y+1/4,z+3/4'
'-x+3/4,y,-z+3/4'
'x+3/4,-y,z+3/4'
'x+1/2,y+1/2,z'
'-x+1/2,-y+1/2,-z'
'-x+3/4,-y+3/4,z'
'x+3/4,y+3/4,-z'
'x+1/2,-y+3/4,-z+1/4'
'-x+1/2,y+3/4,z+1/4'
'-x+3/4,y+1/2,-z+1/4'
'x+3/4,-y+1/2,z+1/4'
loop_
_atom_site_label
_atom_site_fract_x
_atom_site_fract_y
_atom_site_fract_z
Cs1 0.1250 0.1250 0.3095
Pr1 0.1250 0.1250 0.1250
Ga1 0.1250 0.1250 0.6250
O1 0.0816 0.2870 0.8359


Record 3
# Cs2CdSe2O6 PBE optimized geometry
# Energy relative to the elements, uncorrected   -1.17 eV/atom
# Uncorrected energy   -104.5 eV per cell
# Density of states at the Fermi level   0.0000 states/eV per atom
data_Cs2CdSe2O6
_cell_length_a 10.3375
_cell_length_b 6.0931
_cell_length_c 7.7875
_cell_angle_alpha 90.00
_cell_angle_beta 113.22
_cell_angle_gamma 90.00
_symmetry_space_group_name_H-M 'C 1 2/m 1'
_symmetry_Int_Tables_number 12
loop_
_symmetry_equiv_pos_as_xyz
'x,y,z'
'-x,-y,-z'
'-x,y,-z'
'x,-y,z'
'x+1/2,y+1/2,z'
'-x+1/2,-y+1/2,-z'
'-x+1/2,y+1/2,-z'
'x+1/2,-y+1/2,z'
loop_
_atom_site_label
_atom_site_fract_x
_atom_site_fract_y
_atom_site_fract_z
Cs1 0.2115 0.0000 0.1687
Cd1 0.0000 0.0000 0.5000
Se1 0.0841 0.5000 0.2491
O1 0.0076 0.2730 0.7207
O2 0.2468 0.5000 0.4280


Record 4
# SrPH2 PBE optimized geometry
# Uncorrected energy   -55.6 eV per cell
# Relative energy among the computed polymorphs   0.000 eV per atom
# Density of states at the Fermi level   0.5606 states/eV per atom
data_SrPH2
_cell_length_a 4.3167
_cell_length_b 4.3167
_cell_length_c 12.5011
_cell_angle_alpha 90.00
_cell_angle_beta 90.00
_cell_angle_gamma 90.00
_symmetry_space_group_name_H-M 'I 41/a m d'
_symmetry_Int_Tables_number 141
loop_
_symmetry_equiv_pos_as_xyz
'x,y,z'
'-x,-y,-z'
'-y+1/4,x+3/4,z+1/4'
'y+1/4,-x+3/4,-z+1/4'
'-x+1/2,-y,z+1/2'
'x+1/2,y,-z+1/2'
'y+1/4,-x+1/4,z+3/4'
'-y+1/4,x+1/4,-z+3/4'
'x,-y,-z'
'-x,y,z'
'-y+1/4,-x+1/4,-z+3/4'
'y+1/4,x+1/4,z+3/4'
'-x+1/2,y,-z+1/2'
'x+1/2,-y,z+1/2'
'y+1/4,x+3/4,-z+1/4'
'-y+1/4,-x+3/4,z+1/4'
'x+1/2,y+1/2,z+1/2'
'-x+1/2,-y+1/2,-z+1/2'
'-y+3/4,x+1/4,z+3/4'
'y+3/4,-x+1/4,-z+3/4'
'-x,-y+1/2,z'
'x,y+1/2,-z'
'y+3/4,-x+3/4,z+1/4'
'-y+3/4,x+3/4,-z+1/4'
'x+1/2,-y+1/2,-z+1/2'
'-x+1/2,y+1/2,z+1/2'
'-y+3/4,-x+3/4,-z+1/4'
'y+3/4,x+3/4,z+1/4'
'-x,y+1/2,-z'
'x,-y+1/2,z'
'y+3/4,x+1/4,-z+3/4'
'-y+3/4,-x+1/4,z+3/4'
loop_
_atom_site_label
_atom_site_fract_x
_atom_site_fract_y
_atom_site_fract_z
Sr1 0.0000 0.2500 0.3750
P1 0.0000 0.2500 0.8750
H1 0.0000 0.0000 0.0000


Record 5
# Ba3YIr PBE optimized geometry
# Uncorrected energy   -20.0 eV per cell
# Relative energy among the computed polymorphs   0.000 eV per atom
# Density of states at the Fermi level   1.1139 states/eV per atom
# Energy relative to the elements   0.21 eV per atom
data_Ba3YIr
_cell_length_a 6.1411
_cell_length_b 6.1411
_cell_length_c 6.1411
_cell_angle_alpha 90.00
_cell_angle_beta 90.00
_cell_angle_gamma 90.00
_symmetry_space_group_name_H-M 'P m -3 m'
_symmetry_Int_Tables_number 221
_symmetry_space_group_name_Hall '-P 4 2 3'
loop_
_atom_site_label
_atom_site_fract_x
_atom_site_fract_y
_atom_site_fract_z
Ba1 0.0000 0.0000 0.5000
Y1 0.5000 0.5000 0.5000
Ir1 0.0000 0.0000 0.0000


Record 6
# PmPaInTc PBE optimized geometry
# Uncorrected energy   -107.9 eV per cell
# Density of states at the Fermi level   1.0213 states/eV per atom
# Energy relative to the elements   0.10 eV per atom
data_PmPaInTc
_cell_length_a 7.2606
_cell_length_b 7.2606
_cell_length_c 7.2606
_cell_angle_alpha 90.00
_cell_angle_beta 90.00
_cell_angle_gamma 90.00
_symmetry_space_group_name_H-M 'F -4 3 m'
_symmetry_Int_Tables_number 216
_symmetry_space_group_name_Hall 'F -4 2 3'
loop_
_atom_site_label
_atom_site_fract_x
_atom_site_fract_y
_atom_site_fract_z
Pm1 0.0000 0.0000 0.0000
Pa1 0.0000 0.0000 0.5000
In1 0.2500 0.2500 0.2500
Tc1 0.2500 0.2500 0.7500


> The lowest uncorrected energy belongs to which entry?

Cs2PrGaO4


> Look up the density of states at the Fermi level of the sixth one.

1.0213 states/eV per atom


> density of states at the Fermi level of number 5 (Ba3YIr)?

1.1139 states/eV per atom